Record 1
Entry from Alexandria via LeMat-Bulk: an optimized crystal structure of YZn2Tc (PBE).

Results
distance to the lowest polymorph of the same formula = 1.54 eV per formula unit
SG = No. 166
electronic total energy = -4.550 eV per atom
magnetization = 0.006 μB per cell

extended XYZ file:
```
4
Lattice="-5.316 3.630 7.242 -7.376 3.622 5.134 -6.880 1.187 6.718" Properties=species:S:1:pos:R:3 pbc="T T T"
Y -14.679 6.330 14.320
Zn -9.969 4.299 9.726
Zn -19.390 8.361 18.915
Tc -4.893 2.110 4.773
```

---

Record 2
Entry from Alexandria via LeMat-Bulk: an optimized crystal structure of Ba2BiIrO6 (PBE).

Results
SG = No. 2
electronic total energy = -6.337 eV per atom
uncorrected formation energy = -1.70 eV per atom
magnetization = 2.037 μB per cell

extended XYZ file:
```
10
Lattice="6.031 -0.011 0.005 2.992 5.242 0.009 2.958 1.735 4.998" Properties=species:S:1:pos:R:3 pbc="T T T"
O 3.263 1.570 1.087
O 7.602 4.352 1.546
O 5.911 5.445 3.558
O 4.379 2.614 3.466
O 8.718 5.396 3.925
O 6.070 1.522 1.454
Ba 4.499 4.370 1.280
Ba 7.481 2.597 3.732
Bi 1.496 2.621 0.004
Ir 4.494 0.862 2.502
```

---

Record 3
Entry from Alexandria via LeMat-Bulk: an optimized crystal structure of Ho2PuPaN4 (PBE).

Results
SG = No. 10
electronic total energy = -9.881 eV per atom
uncorrected formation energy = -1.59 eV per atom
magnetization = 5.267 μB per cell

extended XYZ file:
```
8
Lattice="3.484 0.000 0.000 0.000 6.007 0.098 0.000 -2.107 5.637" Properties=species:S:1:pos:R:3 pbc="T T T"
Pu 0.000 0.000 0.000
N 1.742 1.021 1.400
N 0.000 3.929 1.458
N 0.000 -0.029 4.277
N 1.742 2.878 4.334
Ho 0.000 1.950 2.867
Ho 1.742 -1.054 2.818
Pa 1.742 3.003 0.049
```

---

Record 4
Entry from Alexandria via LeMat-Bulk: an optimized crystal structure of MgNbN3 (PBE).

Results
SG = No. 221
electronic total energy = -6.089 eV per atom
uncorrected formation energy = 1.24 eV per atom
magnetization = 1.814 μB per cell

extended XYZ file:
```
5
Lattice="-0.813 2.209 -2.938 -3.266 0.948 1.616 1.688 2.898 1.711" Properties=species:S:1:pos:R:3 pbc="T T T"
N -1.633 0.474 0.808
N 0.844 1.449 0.856
N -0.407 1.104 -1.469
Mg 0.000 0.000 0.000
Nb -1.196 3.027 0.195
```

---

Record 5
Entry from Alexandria via LeMat-Bulk: an optimized crystal structure of BeTl3Pb (PBE).

Results
distance to the lowest polymorph of the same formula = 3.16 eV per formula unit
SG = No. 221
electronic total energy = -1.944 eV per atom
magnetization = 0.000 μB per cell

extended XYZ file:
```
5
Lattice="-1.823 -1.023 5.725 2.145 -5.695 -0.334 5.406 1.915 2.063" Properties=species:S:1:pos:R:3 pbc="T T T"
Tl 1.073 -2.848 -0.167
Tl 2.703 0.958 1.032
Tl -0.911 -0.511 2.863
Pb 0.000 0.000 0.000
Be 2.864 -2.401 3.727
```

---

Record 6
Entry from Alexandria via LeMat-Bulk: an optimized crystal structure of LiTcAu2 (PBE).

Results
distance to the lowest polymorph of the same formula = 0.30 eV per formula unit
SG = No. 8
electronic total energy = -4.681 eV per atom
magnetization = 0.718 μB per cell

extended XYZ file:
```
4
Lattice="-0.668 -4.956 -1.703 1.835 -4.292 -2.473 1.839 -2.681 3.669" Properties=species:S:1:pos:R:3 pbc="T T T"
Au 0.180 -0.274 0.349
Au 2.085 -8.673 -0.695
Tc 0.588 -2.822 -0.519
Li 1.656 -6.126 0.106
```